# 1
Cs3Na2NdCl9 | PBE | relaxed

Cell: 7.708 7.708 9.822 Å, 90.00 90.00 120.00°
Fractional positions:
Cs (0.333, 0.667, 0.680)
Cs (0.000, 0.000, 0.000)
Cs (0.667, 0.333, 0.320)
Na (0.333, 0.667, 0.170)
Na (0.667, 0.333, 0.830)
Nd (0.000, 0.000, 0.500)
Cl (0.834, 0.166, 0.663)
Cl (0.834, 0.669, 0.663)
Cl (0.331, 0.166, 0.663)
Cl (0.669, 0.834, 0.337)
Cl (0.166, 0.331, 0.337)
Cl (0.166, 0.834, 0.337)
Cl (0.500, 0.000, 0.000)
Cl (0.000, 0.500, 0.000)
Cl (0.500, 0.500, 0.000)

The space-group type is P-3m1.

=====

# 2
CsNa2NdCl6 | PBE | relaxed

Cell: 7.376 7.377 7.992 Å, 62.52 62.51 59.95°
Fractional positions:
Cs (0.791, 0.791, 0.626)
Na (0.521, 0.521, 0.438)
Na (0.004, 0.004, 0.988)
Nd (0.323, 0.323, 0.031)
Cl (0.588, 0.258, 0.224)
Cl (0.258, 0.930, 0.224)
Cl (0.929, 0.589, 0.224)
Cl (0.314, 0.729, 0.753)
Cl (0.729, 0.203, 0.753)
Cl (0.204, 0.314, 0.753)

The space-group type is P1.

=====

# 3
Cs3NaNi2Cl8 | PBE | relaxed

Cell: 7.333 7.333 9.742 Å, 90.00 90.00 120.00°
Fractional positions:
Cs (0.333, 0.667, 0.637)
Cs (0.667, 0.333, 0.363)
Cs (0.000, 0.000, 0.000)
Na (0.000, 0.000, 0.500)
Ni (0.333, 0.667, 0.214)
Ni (0.667, 0.333, 0.786)
Cl (0.333, 0.667, 0.988)
Cl (0.667, 0.333, 0.012)
Cl (0.174, 0.826, 0.319)
Cl (0.826, 0.174, 0.681)
Cl (0.174, 0.347, 0.319)
Cl (0.826, 0.653, 0.681)
Cl (0.653, 0.826, 0.319)
Cl (0.347, 0.174, 0.681)

The space-group type is P-3m1.

=====

Number 1: E -3.631 eV per atom. Number 2: E -3.972 eV per atom. Number 3: E -3.493 eV per atom.